The following is a GGA-PBEsol calculation of YIrBr2 after structural relaxation, from the Alexandria database.

energy relative to the lowest polymorph listed for this composition: 0.000 eV/atom
total moment: 0.00 μB per cell
SG: No. 123
formation energy without anion corrections: -0.238 eV per atom

Cell: 4.448 4.448 3.905 Å, 90.00 90.00 90.00°
Fractional positions:
Y: 0.000 0.000 0.000
Ir: 0.500 0.500 0.000
Br: 0.000 0.500 0.500
Br: 0.500 0.000 0.500

The following is a GGA-PBEsol calculation of YIrBr2 after structural relaxation, from the Alexandria database.

energy relative to the lowest polymorph listed for this composition: 0.532 eV/atom
total moment: 0.01 μB per cell
SG: No. 166
formation energy without anion corrections: 0.295 eV per atom

Cell: 8.551 8.551 8.551 Å, 25.52 25.52 25.52°
Fractional positions:
Y: 0.000 0.000 0.000
Ir: 0.500 0.500 0.500
Br: 0.113 0.113 0.113
Br: 0.887 0.887 0.887

The following is a GGA-PBEsol calculation of YIr2Br after structural relaxation, from the Alexandria database.

energy relative to the lowest polymorph listed for this composition: 0.000 eV/atom
total moment: 0.00 μB per cell
SG: No. 47
formation energy without anion corrections: -0.023 eV per atom

Cell: 3.064 4.729 4.776 Å, 90.00 90.00 90.00°
Fractional positions:
Y: 0.000 0.000 0.000
Ir: 0.000 0.500 0.500
Ir: 0.500 0.000 0.500
Br: 0.500 0.500 0.000

The following is a GGA-PBEsol calculation of YIrBr2 after structural relaxation, from the Alexandria database.

energy relative to the lowest polymorph listed for this composition: 0.292 eV/atom
total moment: 0.00 μB per cell
SG: No. 123
formation energy without anion corrections: 0.054 eV per atom

Cell: 3.467 3.467 6.591 Å, 90.00 90.00 90.00°
Fractional positions:
Y: 0.000 0.000 0.000
Ir: 0.000 0.000 0.500
Br: 0.500 0.500 0.243
Br: 0.500 0.500 0.757